# 1
28
Lattice="5.861 0.000 0.000 -2.931 5.076 0.000 0.000 0.000 14.340" Properties=species:S:1:pos:R:3 comment="Ba3Te2O9, optimized geometry, DFT GGA-PBEsol" dos_at_fermi_per_ev_cell=0.0 magnetic_moment_mub_per_fu=0.000 e_tot_ev_per_atom=-6.32 pbc="T T T"
Ba 0.000 3.384 3.585
Ba 2.931 1.692 10.755
Ba 0.000 3.384 13.466
Ba 2.931 1.692 6.296
Ba 2.931 1.692 0.874
Ba 0.000 3.384 8.044
O 1.662 4.344 10.755
O 0.000 1.464 10.755
O -1.662 4.344 10.755
O 1.268 0.732 3.585
O 2.931 3.611 3.585
O 4.593 0.732 3.585
O 1.455 0.840 13.041
O 2.931 3.396 13.041
O 4.406 0.840 13.041
O 1.475 4.236 5.871
O 0.000 1.680 5.871
O -1.475 4.236 5.871
O 0.000 1.680 1.299
O 1.475 4.236 1.299
O -1.475 4.236 1.299
O 2.931 3.396 8.469
O 1.455 0.840 8.469
O 4.406 0.840 8.469
Te 0.000 0.000 12.202
Te 0.000 0.000 5.032
Te 0.000 0.000 2.138
Te 0.000 0.000 9.308

# 2
5
Lattice="-0.933 -2.514 1.768 -0.480 -1.706 -2.679 8.002 -0.396 0.744" Properties=species:S:1:pos:R:3 comment="Ti2InNi2, optimized geometry, DFT GGA-PBEsol" dos_at_fermi_per_ev_cell=4.9 delta_e_f_mev_per_atom=-67 magnetic_moment_mub_per_fu=0.000 pbc="T T T"
Ni 3.408 -2.106 -1.195
Ni 3.181 -2.510 1.029
Ti 5.423 -1.863 0.215
Ti 1.166 -2.753 -0.381
In 0.000 0.000 0.000

# 3
4
Lattice="4.592 0.000 0.000 2.296 3.977 0.000 2.296 1.326 3.749" Properties=species:S:1:pos:R:3 comment="ZrTc2Sb, optimized geometry, DFT GGA-PBEsol" dos_at_fermi_per_ev_cell=4.9 magnetic_moment_mub_per_fu=0.985 e_tot_ev_per_atom=-8.89 pbc="T T T"
Sb 4.592 2.651 1.875
Tc 0.000 0.000 0.000
Tc 2.296 1.326 0.937
Zr 6.888 3.977 2.812

# 4
4
Lattice="-0.827 2.322 1.700 0.594 -1.593 2.465 8.697 3.145 -0.063" Properties=species:S:1:pos:R:3 comment="YTa2In, optimized geometry, DFT GGA-PBEsol" dos_at_fermi_per_ev_cell=4.1 delta_e_f_mev_per_atom=159 magnetic_moment_mub_per_fu=0.000 pbc="T T T"
In 6.562 2.780 2.034
Ta 0.053 0.019 0.000
Ta 1.908 1.097 2.067
Y 4.289 1.551 -0.031

# 5
8
Lattice="6.028 0.000 0.000 -3.014 5.242 0.143 0.000 3.329 5.026" Properties=species:S:1:pos:R:3 comment="FeSbS2, optimized geometry, DFT GGA-PBEsol" dos_at_fermi_per_ev_cell=6.0 magnetic_moment_mub_per_fu=0.002 e_tot_ev_per_atom=-5.63 pbc="T T T"
Sb 3.014 5.118 3.841
Sb 0.000 0.000 0.000
S 0.966 5.180 1.992
S -0.966 6.844 4.505
S 4.521 3.092 2.726
S 1.507 2.025 1.115
Fe 0.000 3.453 1.328
Fe 3.014 1.664 2.513

# 6
5
Lattice="-3.622 -3.949 -0.069 3.822 -3.528 1.292 -0.997 0.824 5.201" Properties=species:S:1:pos:R:3 comment="NaSr3O, optimized geometry, DFT GGA-PBEsol" dos_at_fermi_per_ev_cell=3.5 magnetic_moment_mub_per_fu=0.000 e_tot_ev_per_atom=-3.40 pbc="T T T"
Sr 1.911 -1.764 0.646
Sr -0.499 0.412 2.600
Sr -1.811 -1.975 -0.035
O 0.000 0.000 0.000
Na -0.399 -3.327 3.212